<one>
! Cu2NiBr (PBE, optimized geometry); values from VASP
! Fermi-level density of states: 4.358 states/eV per cell
! V: 14.9 A^3/atom
! ρ: 7.395 g/cm³
&SYSTEM
  ibrav = 0, nat = 4, ntyp = 3
/
ATOMIC_SPECIES
Cu 63.55 Cu.upf
Ni 58.69 Ni.upf
Br 79.90 Br.upf
ATOMIC_POSITIONS angstrom
Cu 0.000 0.000 0.000
Cu 1.577 1.577 1.230
Ni 0.000 0.000 2.464
Br 1.577 1.577 4.051
CELL_PARAMETERS angstrom
3.155 0.000 0.000
0.000 3.155 0.000
0.000 0.000 5.995


<two>
! Cu2NiBr (PBE, optimized geometry); values from VASP
! Fermi-level density of states: 4.132 states/eV per cell
! V: 16.2 A^3/atom
! ρ: 6.796 g/cm³
&SYSTEM
  ibrav = 0, nat = 4, ntyp = 3
/
ATOMIC_SPECIES
Cu 63.55 Cu.upf
Ni 58.69 Ni.upf
Br 79.90 Br.upf
ATOMIC_POSITIONS angstrom
Cu 1.394 0.000 1.095
Cu 4.331 0.000 4.619
Ni 3.479 0.000 0.000
Br -0.616 0.000 2.857
CELL_PARAMETERS angstrom
3.479 -1.633 0.000
3.479 1.633 0.000
-1.232 0.000 5.714


What is the stability order? It is <one>, <two>, from most stable to least stable.


<one>
! Cu2NiBr (PBE, optimized geometry); values from VASP
! Fermi-level density of states: 2.779 states/eV per cell
! V: 14.3 A^3/atom
! ρ: 7.734 g/cm³
&SYSTEM
  ibrav = 0, nat = 4, ntyp = 3
/
ATOMIC_SPECIES
Cu 63.55 Cu.upf
Ni 58.69 Ni.upf
Br 79.90 Br.upf
ATOMIC_POSITIONS angstrom
Cu 0.000 0.000 2.122
Cu 0.000 0.000 6.661
Ni 1.595 0.000 0.000
Br 0.000 2.036 0.000
CELL_PARAMETERS angstrom
-1.595 2.036 4.391
1.595 -2.036 4.391
1.595 2.036 -4.391


<two>
! Cu2NiBr (PBE, optimized geometry); values from VASP
! Fermi-level density of states: 1.385 states/eV per cell
! V: 14.5 A^3/atom
! ρ: 7.627 g/cm³
&SYSTEM
  ibrav = 0, nat = 4, ntyp = 3
/
ATOMIC_SPECIES
Cu 63.55 Cu.upf
Ni 58.69 Ni.upf
Br 79.90 Br.upf
ATOMIC_POSITIONS angstrom
Cu 1.260 1.718 0.000
Cu 1.260 -1.718 0.000
Ni -0.006 0.000 1.670
Br 2.514 0.000 1.670
CELL_PARAMETERS angstrom
2.520 -3.436 0.000
2.520 3.436 0.000
-0.013 0.000 3.340


<three>
! Cu2NiBr (PBE, optimized geometry); values from VASP
! Fermi-level density of states: 4.298 states/eV per cell
! V: 16.4 A^3/atom
! ρ: 6.721 g/cm³
&SYSTEM
  ibrav = 0, nat = 4, ntyp = 3
/
ATOMIC_SPECIES
Cu 63.55 Cu.upf
Ni 58.69 Ni.upf
Br 79.90 Br.upf
ATOMIC_POSITIONS angstrom
Cu 0.000 0.000 0.000
Cu 0.000 0.000 4.561
Ni 0.000 0.000 12.271
Br 0.000 0.000 8.231
CELL_PARAMETERS angstrom
1.837 1.061 5.615
-1.837 1.061 5.615
0.000 -2.121 5.615


<four>
! Cu2NiBr (PBE, optimized geometry); values from VASP
! Fermi-level density of states: 2.806 states/eV per cell
! V: 14.7 A^3/atom
! ρ: 7.501 g/cm³
&SYSTEM
  ibrav = 0, nat = 4, ntyp = 3
/
ATOMIC_SPECIES
Cu 63.55 Cu.upf
Ni 58.69 Ni.upf
Br 79.90 Br.upf
ATOMIC_POSITIONS angstrom
Cu 1.543 1.543 1.543
Cu 4.630 4.630 4.630
Ni 0.000 0.000 0.000
Br 3.087 3.087 3.087
CELL_PARAMETERS angstrom
0.000 3.087 3.087
3.087 0.000 3.087
3.087 3.087 0.000


What is the stability order? It is <three>, <two>, <one>, <four>, from most stable to least stable.


<one>
! Cu2NiBr (PBE, optimized geometry); values from VASP
! Fermi-level density of states: 4.685 states/eV per cell
! V: 15.7 A^3/atom
! ρ: 7.013 g/cm³
&SYSTEM
  ibrav = 0, nat = 4, ntyp = 3
/
ATOMIC_SPECIES
Cu 63.55 Cu.upf
Ni 58.69 Ni.upf
Br 79.90 Br.upf
ATOMIC_POSITIONS angstrom
Cu 0.000 0.000 1.244
Cu 0.000 0.000 5.332
Ni 1.490 1.605 0.000
Br 0.000 1.605 3.288
CELL_PARAMETERS angstrom
2.981 0.000 0.000
0.000 3.209 0.000
0.000 0.000 6.576


<two>
! Cu2NiBr (PBE, optimized geometry); values from VASP
! Fermi-level density of states: 3.401 states/eV per cell
! V: 16.1 A^3/atom
! ρ: 6.862 g/cm³
&SYSTEM
  ibrav = 0, nat = 4, ntyp = 3
/
ATOMIC_SPECIES
Cu 63.55 Cu.upf
Ni 58.69 Ni.upf
Br 79.90 Br.upf
ATOMIC_POSITIONS angstrom
Cu 0.000 0.000 0.000
Cu 1.655 1.490 1.262
Ni 0.006 0.000 2.432
Br 3.223 1.490 4.362
CELL_PARAMETERS angstrom
3.311 0.000 0.000
0.000 2.980 0.000
-0.006 0.000 6.517


What is the stability order? It is <two>, <one>, from most stable to least stable.


<one>
! Cu2NiBr (PBE, optimized geometry); values from VASP
! Fermi-level density of states: 3.825 states/eV per cell
! V: 16.3 A^3/atom
! ρ: 6.762 g/cm³
&SYSTEM
  ibrav = 0, nat = 4, ntyp = 3
/
ATOMIC_SPECIES
Cu 63.55 Cu.upf
Ni 58.69 Ni.upf
Br 79.90 Br.upf
ATOMIC_POSITIONS angstrom
Cu 0.000 0.000 4.373
Cu 0.000 0.000 14.159
Ni 0.000 0.000 9.266
Br 0.000 0.000 0.000
CELL_PARAMETERS angstrom
1.746 1.008 6.178
-1.746 1.008 6.178
0.000 -2.016 6.178


<two>
! Cu2NiBr (PBE, optimized geometry); values from VASP
! Fermi-level density of states: 1.916 states/eV per cell
! V: 16.4 A^3/atom
! ρ: 6.725 g/cm³
&SYSTEM
  ibrav = 0, nat = 4, ntyp = 3
/
ATOMIC_SPECIES
Cu 63.55 Cu.upf
Ni 58.69 Ni.upf
Br 79.90 Br.upf
ATOMIC_POSITIONS angstrom
Cu 0.000 0.000 0.000
Cu 0.000 1.939 1.446
Ni 1.455 0.000 2.054
Br 0.000 0.000 4.015
CELL_PARAMETERS angstrom
-1.455 1.939 5.812
1.455 -1.939 5.812
1.455 1.939 -5.812


What is the stability order? It is <two>, <one>, from most stable to least stable.


<one>
! Cu2NiBr (PBE, optimized geometry); values from VASP
! Fermi-level density of states: 4.309 states/eV per cell
! V: 14.9 A^3/atom
! ρ: 7.422 g/cm³
&SYSTEM
  ibrav = 0, nat = 4, ntyp = 3
/
ATOMIC_SPECIES
Cu 63.55 Cu.upf
Ni 58.69 Ni.upf
Br 79.90 Br.upf
ATOMIC_POSITIONS angstrom
Cu 0.000 0.000 1.191
Cu 0.000 0.000 4.506
Ni 1.615 1.615 0.000
Br 1.615 1.615 2.849
CELL_PARAMETERS angstrom
3.230 0.000 0.000
0.000 3.230 0.000
0.000 0.000 5.697


<two>
! Cu2NiBr (PBE, optimized geometry); values from VASP
! Fermi-level density of states: 4.366 states/eV per cell
! V: 15.5 A^3/atom
! ρ: 7.124 g/cm³
&SYSTEM
  ibrav = 0, nat = 8, ntyp = 3
/
ATOMIC_SPECIES
Cu 63.55 Cu.upf
Ni 58.69 Ni.upf
Br 79.90 Br.upf
ATOMIC_POSITIONS angstrom
Cu 5.315 1.653 -0.617
Cu 1.653 1.772 0.617
Cu -1.772 1.890 1.850
Cu 1.890 1.772 3.083
Ni 0.000 0.000 0.000
Ni 0.000 3.543 1.233
Br 3.543 0.000 1.233
Br 0.000 0.000 2.467
CELL_PARAMETERS angstrom
-3.543 3.543 2.467
3.543 -3.543 2.467
3.543 3.543 -2.467


<three>
! Cu2NiBr (PBE, optimized geometry); values from VASP
! Fermi-level density of states: 4.939 states/eV per cell
! V: 14.4 A^3/atom
! ρ: 7.684 g/cm³
&SYSTEM
  ibrav = 0, nat = 4, ntyp = 3
/
ATOMIC_SPECIES
Cu 63.55 Cu.upf
Ni 58.69 Ni.upf
Br 79.90 Br.upf
ATOMIC_POSITIONS angstrom
Cu 0.000 0.000 0.000
Cu 1.531 1.531 1.531
Ni 4.593 4.593 4.593
Br 3.062 3.062 3.062
CELL_PARAMETERS angstrom
0.000 3.062 3.062
3.062 0.000 3.062
3.062 3.062 0.000


What is the stability order? It is <one>, <two>, <three>, from most stable to least stable.


<one>
! Cu2NiBr8 (PBE, optimized geometry); values from VASP
! Fermi-level density of states: 14.171 states/eV per cell
! V: 31.8 A^3/atom
! ρ: 3.916 g/cm³
&SYSTEM
  ibrav = 0, nat = 11, ntyp = 3
/
ATOMIC_SPECIES
Cu 63.55 Cu.upf
Ni 58.69 Ni.upf
Br 79.90 Br.upf
ATOMIC_POSITIONS angstrom
Cu 2.045 0.000 2.799
Cu 10.774 0.000 3.570
Ni 0.000 0.000 0.000
Br 5.306 2.471 4.905
Br 1.780 0.000 5.174
Br 7.513 2.471 1.464
Br 4.366 0.000 2.926
Br 8.452 0.000 3.442
Br 5.306 -2.471 4.905
Br 11.038 0.000 1.195
Br 7.513 -2.471 1.464
CELL_PARAMETERS angstrom
6.595 -4.164 0.000
6.595 4.164 0.000
-0.372 0.000 6.369


<two>
! Cu2NiBr8 (PBE, optimized geometry); values from VASP
! Fermi-level density of states: 11.343 states/eV per cell
! V: 34.5 A^3/atom
! ρ: 3.611 g/cm³
&SYSTEM
  ibrav = 0, nat = 11, ntyp = 3
/
ATOMIC_SPECIES
Cu 63.55 Cu.upf
Ni 58.69 Ni.upf
Br 79.90 Br.upf
ATOMIC_POSITIONS angstrom
Cu 1.790 0.000 1.213
Cu 7.227 0.000 4.928
Ni -1.127 0.000 3.071
Br 3.104 3.806 3.997
Br 0.433 0.000 5.198
Br 5.912 3.806 2.144
Br 4.084 0.000 1.827
Br 4.932 0.000 4.315
Br 3.104 -3.806 3.997
Br 8.583 0.000 0.943
Br 5.912 -3.806 2.144
CELL_PARAMETERS angstrom
5.636 -5.481 0.000
5.636 5.481 0.000
-2.255 0.000 6.141


What is the stability order? It is <two>, <one>, from most stable to least stable.


<one>
! CuNiBr3 (PBE, optimized geometry); values from VASP
! Fermi-level density of states: 1.835 states/eV per cell
! V: 23.7 A^3/atom
! ρ: 5.072 g/cm³
&SYSTEM
  ibrav = 0, nat = 5, ntyp = 3
/
ATOMIC_SPECIES
Cu 63.55 Cu.upf
Ni 58.69 Ni.upf
Br 79.90 Br.upf
ATOMIC_POSITIONS angstrom
Cu 0.000 0.000 0.000
Ni 2.456 2.456 2.456
Br 0.000 2.456 2.456
Br 2.456 0.000 2.456
Br 2.456 2.456 0.000
CELL_PARAMETERS angstrom
4.912 0.000 0.000
0.000 4.912 0.000
0.000 0.000 4.912


<two>
! CuNiBr3 (PBE, optimized geometry); values from VASP
! Fermi-level density of states: 18.401 states/eV per cell
! V: 25.1 A^3/atom
! ρ: 4.781 g/cm³
&SYSTEM
  ibrav = 0, nat = 5, ntyp = 3
/
ATOMIC_SPECIES
Cu 63.55 Cu.upf
Ni 58.69 Ni.upf
Br 79.90 Br.upf
ATOMIC_POSITIONS angstrom
Cu 0.000 0.000 0.000
Ni 2.505 2.505 2.505
Br 0.000 0.000 2.505
Br 0.000 2.505 0.000
Br 2.505 0.000 0.000
CELL_PARAMETERS angstrom
5.010 0.000 0.000
0.000 5.010 0.000
0.000 0.000 5.010


What is the stability order? It is <one>, <two>, from most stable to least stable.


<one>
! Cu3BrO (PBE, optimized geometry); values from VASP
! Fermi-level density of states: 0.442 states/eV per cell
! V: 14.1 A^3/atom
! ρ: 6.748 g/cm³
&SYSTEM
  ibrav = 0, nat = 5, ntyp = 3
/
ATOMIC_SPECIES
Cu 63.55 Cu.upf
Br 79.90 Br.upf
O 16.00 O.upf
ATOMIC_POSITIONS angstrom
Cu 0.000 0.000 2.066
Cu 0.000 2.066 0.000
Cu 2.066 0.000 0.000
Br 2.066 2.066 2.066
O 0.000 0.000 0.000
CELL_PARAMETERS angstrom
4.131 0.000 0.000
0.000 4.131 0.000
0.000 0.000 4.131


<two>
! Cu3BrO (PBE, optimized geometry); values from VASP
! Fermi-level density of states: 0.431 states/eV per cell
! V: 18.5 A^3/atom
! ρ: 5.149 g/cm³
&SYSTEM
  ibrav = 0, nat = 5, ntyp = 3
/
ATOMIC_SPECIES
Cu 63.55 Cu.upf
Br 79.90 Br.upf
O 16.00 O.upf
ATOMIC_POSITIONS angstrom
Cu 0.000 0.000 2.260
Cu 0.000 2.260 0.000
Cu 2.260 0.000 0.000
Br 0.000 0.000 0.000
O 2.260 2.260 2.260
CELL_PARAMETERS angstrom
4.521 0.000 0.000
0.000 4.521 0.000
0.000 0.000 4.521


What is the stability order? It is <one>, <two>, from most stable to least stable.


<one>
! CuP2BrO (PBE, optimized geometry); values from VASP
! Fermi-level density of states: 4.346 states/eV per cell
! V: 16.4 A^3/atom
! ρ: 4.491 g/cm³
&SYSTEM
  ibrav = 0, nat = 5, ntyp = 4
/
ATOMIC_SPECIES
Cu 63.55 Cu.upf
P 30.97 P.upf
Br 79.90 Br.upf
O 16.00 O.upf
ATOMIC_POSITIONS angstrom
Cu 0.000 0.000 0.000
P 0.000 2.351 0.000
P 2.351 0.000 0.000
Br 2.351 2.351 1.852
O 0.000 0.000 1.852
CELL_PARAMETERS angstrom
4.701 0.000 0.000
0.000 4.701 0.000
0.000 0.000 3.704


<two>
! CuP2BrO (PBE, optimized geometry); values from VASP
! Fermi-level density of states: 3.025 states/eV per cell
! V: 18.0 A^3/atom
! ρ: 4.096 g/cm³
&SYSTEM
  ibrav = 0, nat = 5, ntyp = 4
/
ATOMIC_SPECIES
Cu 63.55 Cu.upf
P 30.97 P.upf
Br 79.90 Br.upf
O 16.00 O.upf
ATOMIC_POSITIONS angstrom
Cu 0.000 0.000 0.000
P 0.000 2.495 1.802
P 2.495 0.000 1.802
Br 2.495 2.495 1.802
O 2.495 2.495 0.000
CELL_PARAMETERS angstrom
4.990 0.000 0.000
0.000 4.990 0.000
0.000 0.000 3.604


What is the stability order? It is <one>, <two>, from most stable to least stable.


<one>
! CuOs2Br (PBE, optimized geometry); values from VASP
! Fermi-level density of states: 3.643 states/eV per cell
! V: 15.1 A^3/atom
! ρ: 14.443 g/cm³
&SYSTEM
  ibrav = 0, nat = 4, ntyp = 3
/
ATOMIC_SPECIES
Cu 63.55 Cu.upf
Os 190.23 Os.upf
Br 79.90 Br.upf
ATOMIC_POSITIONS angstrom
Cu 0.000 0.000 0.000
Os 0.000 0.000 6.500
Os 0.000 0.000 19.151
Br 0.000 0.000 12.825
CELL_PARAMETERS angstrom
1.426 0.823 8.550
-1.426 0.823 8.550
0.000 -1.647 8.550


<two>
! CuOs2Br (PBE, optimized geometry); values from VASP
! Fermi-level density of states: 3.944 states/eV per cell
! V: 16.8 A^3/atom
! ρ: 12.931 g/cm³
&SYSTEM
  ibrav = 0, nat = 4, ntyp = 3
/
ATOMIC_SPECIES
Cu 63.55 Cu.upf
Os 190.23 Os.upf
Br 79.90 Br.upf
ATOMIC_POSITIONS angstrom
Cu 0.000 0.000 0.000
Os 0.000 0.000 4.356
Os 1.404 0.000 2.210
Br 1.404 0.000 7.623
CELL_PARAMETERS angstrom
1.404 -2.400 0.000
1.404 2.400 0.000
0.000 0.000 9.982


<three>
! CuOs2Br (PBE, optimized geometry); values from VASP
! Fermi-level density of states: 3.326 states/eV per cell
! V: 16.8 A^3/atom
! ρ: 12.948 g/cm³
&SYSTEM
  ibrav = 0, nat = 4, ntyp = 3
/
ATOMIC_SPECIES
Cu 63.55 Cu.upf
Os 190.23 Os.upf
Br 79.90 Br.upf
ATOMIC_POSITIONS angstrom
Cu 0.000 0.000 0.000
Os 1.451 1.465 6.126
Os 2.907 0.000 4.561
Br 2.905 1.465 2.391
CELL_PARAMETERS angstrom
2.911 0.000 0.000
0.000 2.929 0.000
-0.003 0.000 7.879


<four>
! CuOs2Br (PBE, optimized geometry); values from VASP
! Fermi-level density of states: 3.918 states/eV per cell
! V: 14.7 A^3/atom
! ρ: 14.802 g/cm³
&SYSTEM
  ibrav = 0, nat = 4, ntyp = 3
/
ATOMIC_SPECIES
Cu 63.55 Cu.upf
Os 190.23 Os.upf
Br 79.90 Br.upf
ATOMIC_POSITIONS angstrom
Cu 0.000 0.000 0.000
Os 0.000 2.207 1.509
Os 2.207 0.000 1.509
Br 2.207 2.207 0.000
CELL_PARAMETERS angstrom
4.413 0.000 0.000
0.000 4.413 0.000
0.000 0.000 3.017


What is the stability order? It is <three>, <two>, <one>, <four>, from most stable to least stable.


<one>
! Cu2OsBr (PBE, optimized geometry); values from VASP
! Fermi-level density of states: 3.386 states/eV per cell
! V: 15.5 A^3/atom
! ρ: 10.632 g/cm³
&SYSTEM
  ibrav = 0, nat = 4, ntyp = 3
/
ATOMIC_SPECIES
Cu 63.55 Cu.upf
Os 190.23 Os.upf
Br 79.90 Br.upf
ATOMIC_POSITIONS angstrom
Cu 0.000 0.000 0.000
Cu 1.418 0.000 1.993
Os 1.418 0.000 6.754
Br 0.000 0.000 4.411
CELL_PARAMETERS angstrom
1.418 -2.468 0.000
1.418 2.468 0.000
0.000 0.000 8.866


<two>
! Cu2OsBr (PBE, optimized geometry); values from VASP
! Fermi-level density of states: 4.482 states/eV per cell
! V: 14.9 A^3/atom
! ρ: 11.079 g/cm³
&SYSTEM
  ibrav = 0, nat = 4, ntyp = 3
/
ATOMIC_SPECIES
Cu 63.55 Cu.upf
Os 190.23 Os.upf
Br 79.90 Br.upf
ATOMIC_POSITIONS angstrom
Cu 0.000 0.000 0.000
Cu 1.550 1.550 1.550
Os 4.649 4.649 4.649
Br 3.099 3.099 3.099
CELL_PARAMETERS angstrom
0.000 3.099 3.099
3.099 0.000 3.099
3.099 3.099 0.000


What is the stability order? It is <one>, <two>, from most stable to least stable.


<one>
! Cu2OsBr (PBE, optimized geometry); values from VASP
! Fermi-level density of states: 4.136 states/eV per cell
! V: 18.8 A^3/atom
! ρ: 8.776 g/cm³
&SYSTEM
  ibrav = 0, nat = 4, ntyp = 3
/
ATOMIC_SPECIES
Cu 63.55 Cu.upf
Os 190.23 Os.upf
Br 79.90 Br.upf
ATOMIC_POSITIONS angstrom
Cu 0.000 0.000 0.000
Cu 5.988 0.000 1.140
Os 1.033 0.000 5.320
Br 4.751 0.000 3.280
CELL_PARAMETERS angstrom
4.151 -1.455 0.000
4.151 1.455 0.000
-1.267 0.000 6.222


<two>
! Cu2OsBr (PBE, optimized geometry); values from VASP
! Fermi-level density of states: 2.839 states/eV per cell
! V: 16.8 A^3/atom
! ρ: 9.811 g/cm³
&SYSTEM
  ibrav = 0, nat = 4, ntyp = 3
/
ATOMIC_SPECIES
Cu 63.55 Cu.upf
Os 190.23 Os.upf
Br 79.90 Br.upf
ATOMIC_POSITIONS angstrom
Cu 0.000 0.000 1.650
Cu 0.000 0.000 6.566
Os 1.302 1.571 0.000
Br 0.000 1.571 4.108
CELL_PARAMETERS angstrom
2.604 0.000 0.000
0.000 3.142 0.000
0.000 0.000 8.216


What is the stability order? It is <two>, <one>, from most stable to least stable.